[1]
AcPm2Th3As6: optimized geometry, GGA-PBE.

Calculated values
Energy relative to the elements = -1454 meV per atom
Symmetry = C2/m

a b c (Å): 7.442 7.442 7.439
angles (deg): 99.63 99.63 119.93
Element x y z (fractional)
Ac1 0.000 0.000 0.000
Pm1 0.333 0.667 0.000
Pm2 0.667 0.333 0.000
Th1 0.165 0.835 0.500
Th2 0.500 0.500 0.500
Th3 0.835 0.165 0.500
As1 0.086 0.428 0.258
As2 0.257 0.257 0.745
As3 0.428 0.086 0.258
As4 0.572 0.914 0.742
As5 0.743 0.743 0.255
As6 0.914 0.572 0.742

***

[2]
AcPmTm2As4: optimized geometry, GGA-PBE.

Calculated values
Energy relative to the elements = -1463 meV per atom
Symmetry = P2/m

a b c (Å): 7.325 4.237 7.341
angles (deg): 90.00 109.45 90.00
Element x y z (fractional)
Ac1 0.000 0.000 0.000
Pm1 0.000 0.500 0.500
Tm1 0.500 0.000 0.500
Tm2 0.500 0.500 0.000
As1 0.266 0.000 0.748
As2 0.272 0.500 0.264
As3 0.728 0.500 0.736
As4 0.734 0.000 0.252

***

[3]
AcPm2TmAs4: optimized geometry, GGA-PBE.

Calculated values
Energy relative to the elements = -1459 meV per atom
Symmetry = P2/m

a b c (Å): 7.410 4.284 7.417
angles (deg): 90.00 109.37 90.00
Element x y z (fractional)
Ac1 0.000 0.000 0.000
Pm1 0.000 0.500 0.500
Pm2 0.500 0.000 0.500
Tm1 0.500 0.500 0.000
As1 0.262 0.000 0.752
As2 0.265 0.500 0.257
As3 0.735 0.500 0.743
As4 0.738 0.000 0.248

***

[4]
AcPm2YAs4: optimized geometry, GGA-PBE.

Calculated values
Energy relative to the elements = -1484 meV per atom
Symmetry = P2/m

a b c (Å): 7.436 4.296 7.439
angles (deg): 90.00 109.37 90.00
Element x y z (fractional)
Ac1 0.000 0.000 0.000
Pm1 0.000 0.500 0.500
Pm2 0.500 0.000 0.500
Y1 0.500 0.500 0.000
As1 0.259 0.000 0.749
As2 0.263 0.500 0.259
As3 0.737 0.500 0.741
As4 0.741 0.000 0.251